1.
Material: BiH
Method: DFT, GGA-PBE
State: relaxed

Properties
**Relative energy among the computed polymorphs**: 0.250 eV/atom
**Calculated total energy**: -3.322 eV per atom

abc: 9.143 5.591 6.453
angles: 90.00 90.00 90.00
Fractional coordinates of all 12 atoms:
Bi 0.764 0.014 0.203
Bi 0.736 0.986 0.703
Bi 0.236 0.014 0.203
Bi 0.264 0.986 0.703
Bi 0.000 0.645 0.728
Bi 0.500 0.355 0.228
H 0.844 0.267 0.711
H 0.656 0.733 0.211
H 0.156 0.267 0.711
H 0.344 0.733 0.211
H 0.000 0.594 0.446
H 0.500 0.406 0.946


2.
Material: BiH
Method: DFT, GGA-PBE
State: relaxed

Properties
**Relative energy among the computed polymorphs**: 0.407 eV/atom
**Calculated total energy**: -3.165 eV per atom
**Density of states at the Fermi level**: 3.7 states/eV per cell

abc: 8.311 10.306 7.706
angles: 90.00 90.00 90.00
Fractional coordinates of all 32 atoms:
Bi 0.313 0.000 0.000
Bi 0.687 0.000 0.000
Bi 0.937 0.750 0.250
Bi 0.563 0.750 0.250
Bi 0.313 0.500 0.500
Bi 0.687 0.500 0.500
Bi 0.937 0.250 0.750
Bi 0.563 0.250 0.750
Bi 0.813 0.000 0.500
Bi 0.187 0.000 0.500
Bi 0.437 0.750 0.750
Bi 0.063 0.750 0.750
Bi 0.813 0.500 0.000
Bi 0.187 0.500 0.000
Bi 0.437 0.250 0.250
Bi 0.063 0.250 0.250
H 0.000 0.833 0.000
H 0.000 0.167 0.000
H 0.250 0.917 0.250
H 0.250 0.583 0.250
H 0.000 0.333 0.500
H 0.000 0.667 0.500
H 0.250 0.417 0.750
H 0.250 0.083 0.750
H 0.500 0.833 0.500
H 0.500 0.167 0.500
H 0.750 0.917 0.750
H 0.750 0.583 0.750
H 0.500 0.333 0.000
H 0.500 0.667 0.000
H 0.750 0.417 0.250
H 0.750 0.083 0.250


3.
Material: BiH
Method: DFT, GGA-PBE
State: relaxed

Properties
**Relative energy among the computed polymorphs**: 0.318 eV/atom
**Calculated total energy**: -3.254 eV per atom
**Density of states at the Fermi level**: 5.4 states/eV per cell

abc: 10.352 10.352 3.325
angles: 90.00 90.00 90.00
Fractional coordinates of all 16 atoms:
Bi 0.784 0.500 0.000
Bi 0.216 0.500 0.000
Bi 0.500 0.216 0.000
Bi 0.500 0.784 0.000
Bi 0.284 0.000 0.500
Bi 0.716 0.000 0.500
Bi 0.000 0.716 0.500
Bi 0.000 0.284 0.500
H 0.362 0.362 0.000
H 0.362 0.638 0.000
H 0.638 0.362 0.000
H 0.638 0.638 0.000
H 0.862 0.862 0.500
H 0.862 0.138 0.500
H 0.138 0.862 0.500
H 0.138 0.138 0.500